This record from Alexandria describes crystalline UAgRuO6 at its relaxed geometry. The functional is PBE.

N(E_F) = 0.5801 states/eV per atom
formation energy without anion corrections = -1.67 eV/atom
final energy = -7.58 eV/atom

Cell lengths 5.4250, 5.4250, 9.8343 Å; angles 90.00, 90.00, 120.00 degrees
With the nearest neighbours (Å) after each atom.
Space group P-31c (No. 163)
Inequivalent atoms, fractional coordinates:
U 0.3333 0.6667 0.2500  6 O 2.09
Ag 0.0000 0.0000 0.0000  6 O 2.40
Ru 0.3333 0.6667 0.7500  6 O 1.99
O 0.0142 0.3694 0.6407  1 Ru 1.99, 1 U 2.09